Density functional theory data (PBE) for ZnFe2Rh after structural relaxation.

Cell and atoms, written as POSCAR:
```
ZnFe2Rh
1.0
-2.9194 -0.0358 -0.6536
0.6406 -0.7712 -2.8189
-0.2617 -5.6126 1.4761
Zn Fe Rh
1 2 1
Direct
0.5000 0.5000 0.7586
0.0000 0.0000 0.0093
0.5000 0.5000 0.2371
0.0000 0.0000 0.4950
```

Raw total energy   -0.238 hartree per atom
Fermi-level density of states   4.24 states/eV per cell
Formation energy from the elements   -0.09 eV per atom
Space-group type   P4mm, No. 99